[1]
Material: YHoScCd
Method: DFT, PBE
State: relaxed

Properties
**Energy relative to the lowest polymorph listed for this composition**: 0.0 meV per atom
**Mass density**: 6.3 g cm⁻³
**E_form**: -0.134 eV per atom

Cell lengths 3.5632, 3.5632, 8.6013 Å; angles 90.00, 90.00, 90.00 degrees
Last column: nearest neighbours and their distance in Å.
Atoms (fractional coordinates):
Y1 0.5000 0.5000 0.8125  4 Cd 3.28, 4 Sc 3.38, 4 Y 3.56
Ho1 0.5000 0.5000 0.3294  4 Cd 3.26, 4 Sc 3.35, 4 Ho 3.56
Sc1 0.0000 0.0000 0.0736  4 Ho 3.35, 4 Y 3.38, 4 Sc 3.56
Cd1 0.0000 0.0000 0.5692  4 Ho 3.26, 4 Y 3.28, 4 Cd 3.56

***

[2]
Material: YHoScCd
Method: DFT, PBE
State: relaxed

Properties
**Energy relative to the lowest polymorph listed for this composition**: 86.0 meV per atom
**Mass density**: 6.4 g cm⁻³
**E_form**: -0.048 eV per atom

Cell lengths 5.3355, 5.3355, 5.3355 Å; angles 60.00, 60.00, 60.00 degrees
Last column: nearest neighbours and their distance in Å.
Atoms (fractional coordinates):
Y1 0.7500 0.7500 0.7500  4 Cd 3.27, 4 Sc 3.27
Sc1 0.5000 0.5000 0.5000  4 Ho 3.27, 4 Y 3.27
Ho1 0.2500 0.2500 0.2500  4 Sc 3.27, 4 Cd 3.27
Cd1 0.0000 0.0000 0.0000  4 Ho 3.27, 4 Y 3.27

***

[3]
Material: Ho2CdSe4
Method: DFT, PBE
State: relaxed

Properties
**E_form (uncorrected)**: -1.517 eV/atom
**Mass density**: 6.2 g cm⁻³

Cell lengths 8.3203, 8.3203, 8.3203 Å; angles 60.00, 60.00, 60.00 degrees
Last column: nearest neighbours and their distance in Å.
Atoms (fractional coordinates):
Ho1 0.6250 0.1250 0.1250  6 Se 2.86
Ho2 0.1250 0.1250 0.6250  6 Se 2.86
Ho3 0.1250 0.6250 0.1250  6 Se 2.86
Ho4 0.1250 0.1250 0.1250  6 Se 2.86
Cd1 0.5000 0.5000 0.5000  4 Se 2.70
Cd2 0.7500 0.7500 0.7500  4 Se 2.70
Se1 0.8823 0.8823 0.3532  1 Cd 2.70, 3 Ho 2.86
Se2 0.8968 0.3677 0.3677  1 Cd 2.70, 3 Ho 2.86
Se3 0.3677 0.3677 0.3677  1 Cd 2.70, 3 Ho 2.86
Se4 0.3677 0.8968 0.3677  1 Cd 2.70, 3 Ho 2.86
Se5 0.8823 0.8823 0.8823  1 Cd 2.70, 3 Ho 2.86
Se6 0.8823 0.3532 0.8823  1 Cd 2.70, 3 Ho 2.86
Se7 0.3677 0.3677 0.8968  1 Cd 2.70, 3 Ho 2.86
Se8 0.3532 0.8823 0.8823  1 Cd 2.70, 3 Ho 2.86

***

[4]
Material: Ho2CdSe
Method: DFT, PBE
State: relaxed

Properties
**Energy relative to the lowest polymorph listed for this composition**: 0.0 meV per atom
**E_form (uncorrected)**: -0.960 eV/atom
**Mass density**: 8.3 g cm⁻³

Cell lengths 3.9282, 3.9282, 8.1055 Å; angles 75.98, 75.98, 60.00 degrees
Last column: nearest neighbours and their distance in Å.
Atoms (fractional coordinates):
Ho1 0.2591 0.2591 0.2227  3 Se 2.85, 3 Cd 3.13
Ho2 0.7409 0.7409 0.7773  3 Se 2.85, 3 Cd 3.13
Se1 0.0000 0.0000 0.0000  6 Ho 2.85
Cd1 0.5000 0.5000 0.5000  6 Ho 3.13

***

[5]
Material: HoCdSe2
Method: DFT, PBE
State: relaxed

Properties
**E_form (uncorrected)**: -1.084 eV/atom
**Mass density**: 5.8 g cm⁻³

Cell lengths 4.1131, 4.1131, 25.7231 Å; angles 90.00, 90.00, 60.00 degrees
Last column: nearest neighbours and their distance in Å.
Atoms (fractional coordinates):
Ho1 0.3291 0.0000 0.1667  6 Se 2.85
Ho2 0.6709 0.3291 0.8333  6 Se 2.85
Ho3 0.0000 0.6709 0.5000  6 Se 2.85
Cd1 0.0000 0.6644 0.0000  2 Se 2.71
Cd2 0.6644 0.3356 0.3333  2 Se 2.71
Cd3 0.3356 0.0000 0.6667  2 Se 2.71
Se1 0.0042 0.6625 0.8945  1 Cd 2.71, 3 Ho 2.85
Se2 0.3333 0.0042 0.5611  1 Cd 2.71, 3 Ho 2.85
Se3 0.6625 0.3333 0.2278  1 Cd 2.71, 3 Ho 2.85
Se4 0.6667 0.3375 0.4389  1 Cd 2.71, 3 Ho 2.85
Se5 0.9958 0.6667 0.1055  1 Cd 2.71, 3 Ho 2.85
Se6 0.3375 0.9958 0.7722  1 Cd 2.71, 3 Ho 2.85

***

[6]
Material: Ho6CdSe5
Method: DFT, PBE
State: relaxed

Properties
**E_form (uncorrected)**: -1.465 eV/atom
**Mass density**: 8.5 g cm⁻³

Cell lengths 7.1080, 7.1080, 7.0889 Å; angles 99.59, 99.59, 119.85 degrees
Last column: nearest neighbours and their distance in Å.
Atoms (fractional coordinates):
Ho1 0.4212 0.0834 0.2510  5 Se 2.87-2.91, 1 Cd 2.93
Ho2 0.9166 0.5788 0.7490  5 Se 2.87-2.91, 1 Cd 2.93
Ho3 0.2537 0.2537 0.7495  5 Se 2.88-2.91, 1 Cd 2.92
Ho4 0.7463 0.7463 0.2505  5 Se 2.88-2.91, 1 Cd 2.92
Ho5 0.0834 0.4212 0.2510  5 Se 2.87-2.91, 1 Cd 2.93
Ho6 0.5788 0.9166 0.7490  5 Se 2.87-2.91, 1 Cd 2.93
Se1 0.8329 0.1671 0.5000  6 Ho 2.87-2.91
Se2 0.6660 0.3340 0.0000  6 Ho 2.89-2.90
Se3 0.5000 0.5000 0.5000  6 Ho 2.88-2.91
Se4 0.3340 0.6660 0.0000  6 Ho 2.89-2.90
Se5 0.1671 0.8329 0.5000  6 Ho 2.87-2.91
Cd1 0.0000 0.0000 0.0000  6 Ho 2.92-2.93